Compound: K3Y2HfTe6
Source: Alexandria via LeMat-Bulk
Functional: GGA-PBE
Structure: relaxed Values from VASP.

Results
The total energy comes out at -59.6 eV per cell. As for the space-group type: C2/m, No. 12.

The structure in Quantum ESPRESSO input format:
```
&SYSTEM
  ibrav = 0, nat = 12, ntyp = 4
/
ATOMIC_SPECIES
K 39.10 K.upf
Y 88.91 Y.upf
Hf 178.49 Hf.upf
Te 127.60 Te.upf
CELL_PARAMETERS angstrom
3.793 -6.571 0.000
3.793 6.571 0.000
-2.536 0.000 8.285
ATOMIC_POSITIONS crystal
K 0.000 0.000 0.000
K 0.328 0.672 0.000
K 0.672 0.328 0.000
Y 0.166 0.834 0.500
Y 0.834 0.166 0.500
Hf 0.500 0.500 0.500
Te 0.113 0.432 0.294
Te 0.252 0.252 0.708
Te 0.432 0.113 0.294
Te 0.568 0.887 0.706
Te 0.748 0.748 0.292
Te 0.887 0.568 0.706
```